First-principles (PBE-GGA) data for an optimized crystal structure of SbOsPb3, as listed in the Alexandria database.

It has space group Pm-3m (No. 221), with a = 5.312 Å, b = 5.312 Å, c = 5.312 Å, α = 90.00°, β = 90.00° and γ = 90.00°. The inequivalent atoms are Sb at (0.000, 0.000, 0.000), Os at (0.500, 0.500, 0.500) and Pb at (0.000, 0.500, 0.500).

The calculation puts the raw formation energy at 0.457 eV/atom. As for the magnetization: 0.0 μB per formula unit. The total energy comes out at -4.838 eV per atom.

---

First-principles (PBE-GGA) data for an optimized crystal structure of Ba2Li3AgBi4, as listed in the Alexandria database.

It has space group P-4m2 (No. 115), with a = 4.934 Å, b = 4.934 Å, c = 11.884 Å, α = 90.00°, β = 90.00° and γ = 90.00°. The inequivalent atoms are Ba at (0.000, 0.500, 0.240), Li at (0.000, 0.000, 0.000), Li at (0.000, 0.500, 0.633), Ag at (0.500, 0.500, 0.000), Bi at (0.000, 0.000, 0.500), Bi at (0.000, 0.500, 0.866) and Bi at (0.500, 0.500, 0.500).

As for the magnetization: 0.0 μB per formula unit. The total energy comes out at -3.418 eV per atom. Its formation energy is -622 meV per atom.

---

First-principles (PBE-GGA) data for an optimized crystal structure of NaZnSn2, as listed in the Alexandria database.

It has space group Pnma (No. 62), with a = 8.075 Å, b = 4.678 Å, c = 10.659 Å, α = 90.00°, β = 90.00° and γ = 90.00°. The inequivalent atoms are Na at (0.219, 0.250, 0.184), Zn at (0.079, 0.250, 0.832), Sn at (0.038, 0.750, 0.413) and Sn at (0.154, 0.750, 0.970).

As for the magnetization: 0.0 μB per formula unit. The total energy comes out at -2.740 eV per atom. Its formation energy is -90 meV per atom.

---

First-principles (PBE-GGA) data for an optimized crystal structure of AcDy2Ir9, as listed in the Alexandria database.

It has space group R-3m (No. 166, hexagonal axes), with a = 5.3888 Å, b = 5.3888 Å, c = 26.2779 Å, α = 90.00°, β = 90.00° and γ = 120.00°. The inequivalent atoms are Ac at (0.0000, 0.0000, 0.0000), Dy at (0.0000, 0.0000, 0.1402), Ir at (0.0000, 0.0000, 0.3330), Ir at (0.0000, 0.0000, 0.5000) and Ir at (0.9999, 0.5000, 0.0833).

As for the magnetization: 0.0 μB per formula unit. The total energy comes out at -8.298 eV per atom. Its formation energy is -542 meV per atom.